Computed, not measured: a relaxed La2SmCo9 crystal at the GGA-PBE level of DFT.

Summary:
D(E_F)	56.340	states/eV/cell
total magnetic moment	29.52	μB per cell
total DFT energy (no corrections)	-237.7	eV/cell

Unit cell a=5.0211 b=5.0211 c=25.1778 alpha=90.00 beta=90.00 gamma=120.00
Closest atoms and distances in Å follow each position.
Space group R-3m (No. 166, hexagonal axes)
One atom of each set of equivalent atoms:
La (0.0000, 0.0000, 0.1400) [6 per cell]  12 Co 2.96-3.26, 3 La 3.19
Sm (0.0000, 0.0000, 0.0000) [3 per cell]  18 Co 2.90-3.19
Co (0.0000, 0.0000, 0.3324) [6 per cell]  6 Co 2.43-2.45
Co (0.0000, 0.0000, 0.5000) [3 per cell]  6 Co 2.65
Co (0.0048, 0.5024, 0.0779) [18 per cell]  7 Co 2.43-2.65


Computed, not measured: a relaxed TiO2F2 crystal at the GGA-PBE level of DFT.

Summary:
D(E_F)	3.868	states/eV/cell
total magnetic moment	0.18	μB per cell
formation energy (no corrections)	-0.230	eV per atom
total DFT energy (no corrections)	-22.7	eV/cell

Unit cell a=3.8014 b=3.8014 c=3.6191 alpha=90.00 beta=90.00 gamma=90.00
Closest atoms and distances in Å follow each position.
Space group P4/mmm (No. 123)
One atom of each set of equivalent atoms:
Ti (0.0000, 0.0000, 0.0000) [1 per cell]  8 F 2.62, 4 O 2.69
O (0.5000, 0.5000, 0.0000) [1 per cell]  2 O 1.81
O (0.5000, 0.5000, 0.5000) [1 per cell]  2 O 1.81, 4 F 1.90
F (0.0000, 0.5000, 0.5000) [2 per cell]  2 O 1.90


Computed, not measured: a relaxed BaLi2Tb crystal at the GGA-PBE level of DFT.

Summary:
D(E_F)	5.486	states/eV/cell
total magnetic moment	0.00	μB per cell
total DFT energy (no corrections)	-9.7	eV/cell

Unit cell a=3.9935 b=3.9935 c=8.2725 alpha=90.00 beta=90.00 gamma=90.00
Closest atoms and distances in Å follow each position.
Space group P4/mmm (No. 123)
One atom of each set of equivalent atoms:
Ba (0.0000, 0.0000, 0.0000) [1 per cell]  8 Li 3.72, 4 Ba 3.99, 2 Tb 4.14
Li (0.5000, 0.5000, 0.2933) [2 per cell]  4 Tb 3.30, 1 Li 3.42
Tb (0.0000, 0.0000, 0.5000) [1 per cell]  8 Li 3.30


Computed, not measured: a relaxed LuMgSc crystal at the GGA-PBE level of DFT.

Summary:
D(E_F)	7.014	states/eV/cell
total magnetic moment	1.89	μB per cell
total DFT energy (no corrections)	-25.0	eV/cell

Unit cell a=3.4029 b=3.4029 c=13.3315 alpha=90.00 beta=90.00 gamma=90.00
Closest atoms and distances in Å follow each position.
Space group I4mm (No. 107)
One atom of each set of equivalent atoms:
Lu (0.0000, 0.0000, 0.0000) [2 per cell]  4 Sc 3.30, 4 Mg 3.33, 4 Lu 3.40
Mg (0.0000, 0.0000, 0.6722) [2 per cell]  4 Sc 3.20, 4 Lu 3.33, 4 Mg 3.40
Sc (0.0000, 0.0000, 0.3305) [2 per cell]  4 Mg 3.20, 4 Lu 3.30, 4 Sc 3.40


> Which value of D(E_F) does entry 1 give?

56.340 states/eV/cell


> What is the total DFT energy (no corrections) in the third record?

-9.7 eV/cell


> What is the formula in the third record?

BaLi2Tb


Copy entry 2 word for word.
Computed, not measured: a relaxed TiO2F2 crystal at the GGA-PBE level of DFT.

Summary:
D(E_F)	3.868	states/eV/cell
total magnetic moment	0.18	μB per cell
formation energy (no corrections)	-0.230	eV per atom
total DFT energy (no corrections)	-22.7	eV/cell

Unit cell a=3.8014 b=3.8014 c=3.6191 alpha=90.00 beta=90.00 gamma=90.00
Closest atoms and distances in Å follow each position.
Space group P4/mmm (No. 123)
One atom of each set of equivalent atoms:
Ti (0.0000, 0.0000, 0.0000) [1 per cell]  8 F 2.62, 4 O 2.69
O (0.5000, 0.5000, 0.0000) [1 per cell]  2 O 1.81
O (0.5000, 0.5000, 0.5000) [1 per cell]  2 O 1.81, 4 F 1.90
F (0.0000, 0.5000, 0.5000) [2 per cell]  2 O 1.90